<w>
CaY2Cr | PBEsol | optimized geometry

abc: 7.5690 7.5690 7.5690
angles: 90.00 90.00 90.00
With the nearest neighbours (Å) after each atom.
Fractional positions:
Ca1 0.0000 0.0000 0.0000  4 Y 3.28, 4 Cr 3.28
Ca2 0.0000 0.5000 0.5000  4 Y 3.28, 4 Cr 3.28
Ca3 0.5000 0.0000 0.5000  4 Y 3.28, 4 Cr 3.28
Ca4 0.5000 0.5000 0.0000  4 Y 3.28, 4 Cr 3.28
Y1 0.0000 0.0000 0.5000  4 Cr 3.28, 4 Y 3.28
Y2 0.0000 0.5000 0.0000  4 Cr 3.28, 4 Y 3.28
Y3 0.2500 0.2500 0.2500  4 Ca 3.28, 4 Y 3.28
Y4 0.2500 0.7500 0.7500  4 Y 3.28, 4 Ca 3.28
Y5 0.5000 0.0000 0.0000  4 Cr 3.28, 4 Y 3.28
Y6 0.5000 0.5000 0.5000  4 Cr 3.28, 4 Y 3.28
Y7 0.7500 0.2500 0.7500  4 Y 3.28, 4 Ca 3.28
Y8 0.7500 0.7500 0.2500  4 Y 3.28, 4 Ca 3.28
Cr1 0.2500 0.2500 0.7500  4 Ca 3.28, 4 Y 3.28
Cr2 0.2500 0.7500 0.2500  4 Ca 3.28, 4 Y 3.28
Cr3 0.7500 0.2500 0.2500  4 Ca 3.28, 4 Y 3.28
Cr4 0.7500 0.7500 0.7500  4 Ca 3.28, 4 Y 3.28

---

<x>
CaY2Cr | PBEsol | optimized geometry

abc: 3.5195 3.5195 31.7271
angles: 90.00 90.00 120.00
With the nearest neighbours (Å) after each atom.
Fractional positions:
Ca1 0.0000 0.0000 0.0000  6 Ca 3.52, 6 Y 3.77
Ca2 0.3333 0.6667 0.6667  6 Ca 3.52, 6 Y 3.77
Ca3 0.6667 0.3333 0.3333  6 Ca 3.52, 6 Y 3.77
Y1 0.0000 0.0000 0.2331  3 Cr 2.93
Y2 0.0000 0.0000 0.7669  3 Cr 2.93
Y3 0.3333 0.6667 0.4335  3 Cr 2.93
Y4 0.3333 0.6667 0.8998  3 Cr 2.93
Y5 0.6667 0.3333 0.1002  3 Cr 2.93
Y6 0.6667 0.3333 0.5665  3 Cr 2.93
Cr1 0.0000 0.0000 0.5000  6 Y 2.93
Cr2 0.3333 0.6667 0.1667  6 Y 2.93
Cr3 0.6667 0.3333 0.8333  6 Y 2.93

---

Tell me which of them is the least stable. Sure, it is <w>.

---

<w>
CaY2Cr | PBEsol | optimized geometry

abc: 6.5313 10.9886 3.3365
angles: 90.00 112.00 90.00
With the nearest neighbours (Å) after each atom.
Fractional positions:
Ca1 0.0000 0.0000 0.0000  2 Cr 3.27, 4 Y 3.31, 2 Ca 3.34
Ca2 0.5000 0.5000 0.0000  2 Cr 3.27, 4 Y 3.31, 2 Ca 3.34
Y1 0.2500 0.2500 0.5000  4 Y 3.27-3.34, 2 Cr 3.31, 2 Ca 3.31
Y2 0.2500 0.7500 0.5000  4 Y 3.27-3.34, 2 Cr 3.31, 2 Ca 3.31
Y3 0.7500 0.2500 0.5000  4 Y 3.27-3.34, 2 Cr 3.31, 2 Ca 3.31
Y4 0.7500 0.7500 0.5000  4 Y 3.27-3.34, 2 Cr 3.31, 2 Ca 3.31
Cr1 0.0000 0.5000 0.0000  2 Ca 3.27, 4 Y 3.31, 2 Cr 3.34
Cr2 0.5000 0.0000 0.0000  2 Ca 3.27, 4 Y 3.31, 2 Cr 3.34

---

<x>
CaY2Cr | PBEsol | optimized geometry

abc: 5.2347 5.2347 3.9665
angles: 90.00 90.00 90.00
With the nearest neighbours (Å) after each atom.
Fractional positions:
Ca1 0.0000 0.0000 0.0000  8 Y 3.28
Y1 0.0000 0.5000 0.5000  4 Cr 3.28, 4 Ca 3.28
Y2 0.5000 0.0000 0.5000  4 Cr 3.28, 4 Ca 3.28
Cr1 0.5000 0.5000 0.0000  8 Y 3.28

---

Tell me which of them is the least stable. Sure, it is <w>.

---

<w>
CsCaN2 | PBEsol | optimized geometry

abc: 4.7967 4.7967 15.4597
angles: 90.00 90.00 90.00
With the nearest neighbours (Å) after each atom.
Fractional positions:
Cs1 0.0000 0.2500 0.3750  8 N 3.31, 4 Ca 3.39
Cs2 0.0000 0.7500 0.6250  8 N 3.31, 4 Ca 3.39
Cs3 0.5000 0.2500 0.1250  8 N 3.31, 4 Ca 3.39
Cs4 0.5000 0.7500 0.8750  8 N 3.31, 4 Ca 3.39
Ca1 0.0000 0.2500 0.8750  4 N 2.27
Ca2 0.0000 0.7500 0.1250  4 N 2.27
Ca3 0.5000 0.2500 0.6250  4 N 2.27
Ca4 0.5000 0.7500 0.3750  4 N 2.27
N1 0.0000 0.0000 0.0000  2 Ca 2.27, 2 N 2.40
N2 0.0000 0.5000 0.0000  2 Ca 2.27, 2 N 2.40
N3 0.2500 0.2500 0.7500  2 Ca 2.27, 2 N 2.40
N4 0.2500 0.7500 0.2500  2 Ca 2.27, 2 N 2.40
N5 0.5000 0.0000 0.5000  2 Ca 2.27, 2 N 2.40
N6 0.5000 0.5000 0.5000  2 Ca 2.27, 2 N 2.40
N7 0.7500 0.2500 0.7500  2 Ca 2.27, 2 N 2.40
N8 0.7500 0.7500 0.2500  2 Ca 2.27, 2 N 2.40

---

<x>
CsCaN2 | PBEsol | optimized geometry

abc: 3.7367 3.7367 20.3548
angles: 90.00 90.00 120.00
With the nearest neighbours (Å) after each atom.
Fractional positions:
Cs1 0.0000 0.0000 0.0000  2 N 2.19
Cs2 0.3333 0.6667 0.6667  2 N 2.19
Cs3 0.6667 0.3333 0.3333  2 N 2.19
Ca1 0.0000 0.0000 0.5000  6 N 2.47
Ca2 0.3333 0.6667 0.1667  6 N 2.47
Ca3 0.6667 0.3333 0.8333  6 N 2.47
N1 0.0000 0.0000 0.1077  1 Cs 2.19
N2 0.0000 0.0000 0.8923  1 Cs 2.19
N3 0.3333 0.6667 0.5590  1 Cs 2.19
N4 0.3333 0.6667 0.7744  1 Cs 2.19
N5 0.6667 0.3333 0.2256  1 Cs 2.19
N6 0.6667 0.3333 0.4410  1 Cs 2.19

---

Tell me which of them is the least stable. Sure, it is <w>.

---

<w>
Ca2LaGaCu2O7 | PBEsol | optimized geometry

abc: 11.6401 11.6401 11.6401
angles: 38.67 152.52 153.32
With the nearest neighbours (Å) after each atom.
Fractional positions:
Ca1 0.0374 0.1540 0.1914  4 O 2.28-2.53
Ca2 0.0374 0.3460 0.3833  4 O 2.28-2.53
Ca3 0.9626 0.6540 0.6167  4 O 2.28-2.53
Ca4 0.9626 0.8460 0.8086  4 O 2.28-2.53
La1 0.9800 0.4800 0.5000  8 O 2.45-2.55
La2 0.9800 0.9800 0.0000  8 O 2.45-2.55
Ga1 0.4480 0.7687 0.1793  4 O 1.82-1.91
Ga2 0.5895 0.2687 0.8207  4 O 1.82-1.91
Cu1 0.4780 0.5623 0.0785  4 O 1.92-1.97
Cu2 0.4780 0.8995 0.4156  4 O 1.92-1.97
Cu3 0.4839 0.0623 0.5844  4 O 1.92-1.97
Cu4 0.4839 0.3995 0.9215  4 O 1.92-1.97
O1 0.3573 0.1051 0.6096  1 Ga 1.82
O2 0.3573 0.2476 0.7522  1 Ga 1.82
O3 0.4738 0.1519 0.1717  2 Cu 1.92
O4 0.4738 0.8021 0.8219  2 Cu 1.92
O5 0.4878 0.3034 0.3253  2 Cu 1.94-1.97
O6 0.4878 0.6625 0.6843  2 Cu 1.94-1.97
O7 0.4955 0.6051 0.2478  1 Ga 1.82
O8 0.4955 0.7476 0.3904  1 Ga 1.82
O9 0.7572 0.1221 0.1351  2 Ga 1.91
O10 0.9781 0.1625 0.6747  2 Cu 1.94-1.97
O11 0.9781 0.8034 0.3157  2 Cu 1.94-1.97
O12 0.9802 0.3021 0.8283  2 Cu 1.92
O13 0.9802 0.6519 0.1781  2 Cu 1.92
O14 0.9870 0.6221 0.8649  2 Ga 1.91

---

<x>
Ca2LaGaCu2O7 | PBEsol | optimized geometry

abc: 5.3382 5.4842 11.6800
angles: 77.22 77.06 89.92
With the nearest neighbours (Å) after each atom.
Fractional positions:
Ca1 0.0000 0.0000 0.0000  4 O 2.29-2.50
Ca2 0.1535 0.1028 0.7117  7 O 2.34-2.56
Ca3 0.4988 0.4321 0.0022  5 O 2.28-2.55
Ca4 0.8045 0.8085 0.3939  5 O 2.31-2.50
La1 0.3113 0.2517 0.4031  7 O 2.39-2.59
La2 0.6649 0.6162 0.7023  8 O 2.43-2.60
Ga1 0.3800 0.8082 0.1949  4 O 1.80-1.92
Ga2 0.8845 0.4421 0.1956  4 O 1.80-1.92
Cu1 0.0862 0.5382 0.8581  4 O 1.91-1.94
Cu2 0.2442 0.6926 0.5504  4 O 1.91-1.95
Cu3 0.5852 0.0354 0.8574  4 O 1.91-1.94
Cu4 0.7428 0.1974 0.5524  4 O 1.91-1.94
O1 0.0112 0.4205 0.5595  2 Cu 1.91
O2 0.0246 0.7576 0.1995  2 Ga 1.90
O3 0.0475 0.3686 0.0558  1 Ga 1.80
O4 0.3431 0.2917 0.8347  2 Cu 1.92-1.94
O5 0.3432 0.7846 0.8531  2 Cu 1.91
O6 0.3916 0.8641 0.3426  1 Ga 1.83
O7 0.4703 0.9586 0.5635  2 Cu 1.92-1.95
O8 0.5192 0.4691 0.5368  2 Cu 1.91
O9 0.5269 0.4882 0.1965  2 Ga 1.92
O10 0.5446 0.0118 0.0555  1 Ga 1.80
O11 0.8403 0.3007 0.8408  2 Cu 1.92-1.94
O12 0.8451 0.7950 0.8495  2 Cu 1.91
O13 0.8838 0.2374 0.3429  1 Ga 1.83
O14 0.9778 0.9282 0.5572  2 Cu 1.92-1.94

---

Tell me which of them is the least stable. Sure, it is <w>.

---

<w>
CaCu2Ir | PBEsol | optimized geometry

abc: 6.2333 6.2333 6.2333
angles: 90.00 90.00 90.00
With the nearest neighbours (Å) after each atom.
Fractional positions:
Ca1 0.0000 0.0000 0.0000  8 Cu 2.70
Ca2 0.0000 0.5000 0.5000  8 Cu 2.70
Ca3 0.5000 0.0000 0.5000  8 Cu 2.70
Ca4 0.5000 0.5000 0.0000  8 Cu 2.70
Cu1 0.2500 0.2500 0.2500  4 Ca 2.70, 4 Ir 2.70
Cu2 0.2500 0.2500 0.7500  4 Ca 2.70, 4 Ir 2.70
Cu3 0.2500 0.7500 0.2500  4 Ca 2.70, 4 Ir 2.70
Cu4 0.2500 0.7500 0.7500  4 Ca 2.70, 4 Ir 2.70
Cu5 0.7500 0.2500 0.2500  4 Ca 2.70, 4 Ir 2.70
Cu6 0.7500 0.2500 0.7500  4 Ca 2.70, 4 Ir 2.70
Cu7 0.7500 0.7500 0.2500  4 Ca 2.70, 4 Ir 2.70
Cu8 0.7500 0.7500 0.7500  4 Ca 2.70, 4 Ir 2.70
Ir1 0.0000 0.0000 0.5000  8 Cu 2.70
Ir2 0.0000 0.5000 0.0000  8 Cu 2.70
Ir3 0.5000 0.0000 0.0000  8 Cu 2.70
Ir4 0.5000 0.5000 0.5000  8 Cu 2.70

---

<x>
CaCu2Ir | PBEsol | optimized geometry

abc: 5.9772 5.9894 3.3362
angles: 90.00 90.00 90.00
With the nearest neighbours (Å) after each atom.
Fractional positions:
Ca1 0.0000 0.0000 0.0000  8 Cu 2.69, 4 Ir 2.99
Ca2 0.5000 0.5000 0.0000  8 Cu 2.69, 4 Ir 2.99
Cu1 0.2500 0.2500 0.5000  4 Ca 2.69, 4 Ir 2.69, 4 Cu 2.99
Cu2 0.2500 0.7500 0.5000  4 Ca 2.69, 4 Ir 2.69, 4 Cu 2.99
Cu3 0.7500 0.2500 0.5000  4 Ir 2.69, 4 Ca 2.69, 4 Cu 2.99
Cu4 0.7500 0.7500 0.5000  4 Ca 2.69, 4 Ir 2.69, 4 Cu 2.99
Ir1 0.0000 0.5000 0.0000  8 Cu 2.69, 4 Ca 2.99
Ir2 0.5000 0.0000 0.0000  8 Cu 2.69, 4 Ca 2.99

---

Tell me which of them is the least stable. Sure, it is <x>.

---

<w>
CaLaCu | PBEsol | optimized geometry

abc: 3.8637 3.8637 7.0296
angles: 90.00 90.00 120.00
With the nearest neighbours (Å) after each atom.
Fractional positions:
Ca1 0.0000 0.0000 0.0000  3 Cu 2.91
La1 0.3333 0.6667 0.4792  3 Cu 2.86
Cu1 0.6667 0.3333 0.7341  3 La 2.86, 3 Ca 2.91

---

<x>
CaLaCu | PBEsol | optimized geometry

abc: 7.0153 7.0153 7.0153
angles: 90.00 90.00 90.00
With the nearest neighbours (Å) after each atom.
Fractional positions:
Ca1 0.0000 0.0000 0.0000  4 Cu 3.04
Ca2 0.0000 0.5000 0.5000  4 Cu 3.04
Ca3 0.5000 0.0000 0.5000  4 Cu 3.04
Ca4 0.5000 0.5000 0.0000  4 Cu 3.04
La1 0.0000 0.0000 0.5000  4 Cu 3.04
La2 0.0000 0.5000 0.0000  4 Cu 3.04
La3 0.5000 0.0000 0.0000  4 Cu 3.04
La4 0.5000 0.5000 0.5000  4 Cu 3.04
Cu1 0.2500 0.2500 0.2500  4 La 3.04, 4 Ca 3.04
Cu2 0.2500 0.7500 0.7500  4 La 3.04, 4 Ca 3.04
Cu3 0.7500 0.2500 0.7500  4 La 3.04, 4 Ca 3.04
Cu4 0.7500 0.7500 0.2500  4 La 3.04, 4 Ca 3.04

---

<y>
CaLaCu | PBEsol | optimized geometry

abc: 3.5386 3.5386 13.1713
angles: 90.00 90.00 90.00
With the nearest neighbours (Å) after each atom.
Fractional positions:
Ca1 0.0000 0.0000 0.0000  4 Cu 3.06
Ca2 0.5000 0.5000 0.5000  4 Cu 3.06
La1 0.0000 0.0000 0.2628  4 Cu 3.02
La2 0.5000 0.5000 0.7628  4 Cu 3.02
Cu1 0.0000 0.0000 0.6341  4 La 3.02, 4 Ca 3.06
Cu2 0.5000 0.5000 0.1341  4 La 3.02, 4 Ca 3.06

---

Tell me which of them is the least stable. Sure, it is <w>.